Computed, not measured: a relaxed Pm2Sm5HoEr crystal at the GGA-PBE level of DFT.

a b c (Å): 8.6207 8.6207 16.2813
angles (deg): 90.00 90.00 90.00
Space group I4/mcm (No. 140)
Unique sites:
Pm 0.1198 0.3802 0.0000 (multiplicity 8)
Sm 0.0000 0.0000 0.0000 (multiplicity 4)
Sm 0.2145 0.2855 0.3582 (multiplicity 16)
Ho 0.0000 0.0000 0.2500 (multiplicity 4)
Er 0.0000 0.5000 0.2500 (multiplicity 4)

Summary:
Formation energy from the elements (eV per atom): 0.28